[1]
Compound: Pm2Al4IrPt3
Source: Alexandria
Functional: PBE
Structure: optimized geometry

abc: 4.2587 4.2587 10.3969
angles: 90.00 90.00 90.00
Last column: nearest neighbours and their distance in Å.
Sites, in units of the cell vectors:
Pm: 0.5000 0.0000 0.2546  8 Al 3.26-3.40, 6 Pt 3.26-3.32, 2 Ir 3.32
Pm: 0.0000 0.5000 0.7454  8 Al 3.26-3.40, 6 Pt 3.26-3.32, 2 Ir 3.32
Al: 0.5000 0.5000 0.0000  4 Pt 2.54
Al: 0.0000 0.0000 0.0000  4 Pt 2.54
Al: 0.5000 0.0000 0.6264  3 Pt 2.49-2.50, 2 Ir 2.50
Al: 0.0000 0.5000 0.3736  3 Pt 2.49-2.50, 2 Ir 2.50
Ir: 0.5000 0.5000 0.5000  4 Al 2.50
Pt: 0.0000 0.0000 0.5000  4 Al 2.50
Pt: 0.5000 0.0000 0.8663  5 Al 2.49-2.54
Pt: 0.0000 0.5000 0.1337  5 Al 2.49-2.54

Results
- Density of states at the Fermi level: 6.987 states/eV/cell
- SG: P-4m2, No. 115
- Energy relative to the elements: -1.08 eV/atom



[2]
Compound: NbH2Cl5
Source: Alexandria
Functional: PBE
Structure: optimized geometry

abc: 7.3807 6.7501 11.8895
angles: 88.90 94.49 127.44
Last column: nearest neighbours and their distance in Å.
Sites, in units of the cell vectors:
Nb: 0.7355 0.6034 0.7476  4 Cl 2.31-2.48
Nb: 0.2645 0.3968 0.2523  4 Cl 2.31-2.48
H: 0.2627 0.9053 0.2649  1 Cl 1.41
H: 0.7821 0.8356 0.1701  2 Cl 1.55-1.60
H: 0.7371 0.0948 0.7351  1 Cl 1.41
H: 0.2182 0.1640 0.8301  2 Cl 1.55-1.60
Cl: 0.0899 0.8915 0.8670  1 H 1.55
Cl: 0.7669 0.9719 0.6520  1 H 1.41
Cl: 0.2263 0.4938 0.4299  1 Nb 2.31
Cl: 0.2950 0.7467 0.1588  1 H 1.79
Cl: 0.6450 0.5510 0.2052  1 H 1.60
Cl: 0.3553 0.4491 0.7952  1 H 1.60
Cl: 0.7735 0.5065 0.5700  1 Nb 2.31
Cl: 0.7044 0.2530 0.8411  1 H 1.79
Cl: 0.9104 0.1081 0.1328  1 H 1.55
Cl: 0.2333 0.0284 0.3480  1 H 1.41

Results
- Total energy: -63.41 eV for the cell shown
- SG: P-1, No. 2



[3]
Compound: AlZn2Fe
Source: Alexandria
Functional: PBE
Structure: optimized geometry

abc: 2.7934 3.7797 5.2325
angles: 90.00 90.00 90.00
Last column: nearest neighbours and their distance in Å.
Sites, in units of the cell vectors:
Zn: 0.0000 0.0000 0.9895  4 Zn 2.51-2.79, 4 Fe 2.66, 4 Al 2.72
Zn: 0.0000 0.0000 0.5105  4 Zn 2.51-2.79, 4 Fe 2.66, 4 Al 2.72
Fe: 0.5000 0.5000 0.7500  2 Al 2.62, 8 Zn 2.66, 2 Fe 2.79
Al: 0.5000 0.5000 0.2500  2 Fe 2.62, 8 Zn 2.72, 2 Al 2.79

Results
- Density of states at the Fermi level: 2.654 states/eV/cell
- SG: Pmmm, No. 47
- Energy relative to the elements: 0.02 eV/atom



[4]
Compound: AcMg2Zn
Source: Alexandria
Functional: PBE
Structure: optimized geometry

abc: 3.6187 3.6187 8.0640
angles: 90.00 90.00 90.00
Last column: nearest neighbours and their distance in Å.
Sites, in units of the cell vectors:
Mg: 0.0000 0.0000 0.8124  4 Zn 2.97, 1 Mg 3.02
Mg: 0.0000 0.0000 0.1876  4 Zn 2.97, 1 Mg 3.02
Ac: 0.5000 0.5000 0.5000  8 Mg 3.59, 4 Ac 3.62
Zn: 0.5000 0.5000 0.0000  8 Mg 2.97

Results
- Density of states at the Fermi level: 3.111 states/eV/cell
- SG: P4/mmm, No. 123
- Energy relative to the elements: -0.01 eV/atom



[5]
Compound: Tl2GeF7
Source: Alexandria
Functional: PBE
Structure: optimized geometry

abc: 7.3324 7.0041 8.8385
angles: 81.51 66.21 69.14
Last column: nearest neighbours and their distance in Å.
Sites, in units of the cell vectors:
Tl: 0.7647 0.0107 0.5425  5 F 2.11-2.36
Tl: 0.8186 0.4398 0.1514  4 F 2.70-2.88
Tl: 0.3329 0.6198 0.7243  2 F 2.58-2.68
Tl: 0.3904 0.1007 0.3216  6 F 2.72-2.99
Ge: 0.8144 0.2159 0.8082  6 F 1.77-1.91
Ge: 0.1381 0.7382 0.2250  6 F 1.78-1.93
F: 0.6926 0.4865 0.8367  1 Ge 1.79
F: 0.0471 0.0185 0.2826  1 Ge 1.91
F: 0.2265 0.7985 0.0099  1 Ge 1.78
F: 0.5996 0.2700 0.4277  1 Tl 2.16
F: 0.5691 0.2053 0.7871  1 Ge 1.91
F: 0.9093 0.2460 0.5742  1 Ge 1.90
F: 0.0590 0.2097 0.8072  1 Ge 1.77
F: 0.8667 0.7911 0.2438  1 Ge 1.83
F: 0.0282 0.7069 0.4621  1 Ge 1.93
F: 0.3882 0.7035 0.2383  1 Ge 1.81
F: 0.5329 0.8759 0.5828  1 Tl 2.11
F: 0.7102 0.1581 0.0258  1 Ge 1.80
F: 0.9140 0.9357 0.7510  1 Ge 1.90
F: 0.1977 0.4692 0.1977  1 Ge 1.81

Results
- Density of states at the Fermi level: 0.000 states/eV/cell
- SG: P1, No. 1
- Formation energy from raw total energies: -2175 meV/atom



[6]
Compound: Li2SBr
Source: Alexandria
Functional: PBE
Structure: optimized geometry

abc: 6.2925 6.2925 6.3996
angles: 60.55 60.55 90.00
Last column: nearest neighbours and their distance in Å.
Sites, in units of the cell vectors:
S: 0.5000 0.5000 0.0000  4 Li 2.48
S: 0.2500 0.7500 0.5000  4 Li 2.48
Br: 0.0000 0.0000 0.0000  4 Li 2.53
Br: 0.7500 0.2500 0.5000  4 Li 2.53
Li: 0.6195 0.1250 0.2500  2 S 2.48, 2 Br 2.53
Li: 0.1305 0.6250 0.2500  2 S 2.48, 2 Br 2.53
Li: 0.3750 0.3805 0.7500  2 S 2.48, 2 Br 2.53
Li: 0.8750 0.8695 0.7500  2 S 2.48, 2 Br 2.53

Results
- Density of states at the Fermi level: 2.532 states/eV/cell
- SG: I-42d, No. 122
- Formation energy from raw total energies: -904 meV/atom



[7]
Compound: KNi2AuCl8
Source: Alexandria
Functional: PBE
Structure: optimized geometry

abc: 6.3426 6.3426 9.9834
angles: 71.48 71.48 60.00
Last column: nearest neighbours and their distance in Å.
Sites, in units of the cell vectors:
K: 0.5000 0.5000 0.5000  12 Cl 3.67-3.74
Ni: 0.2539 0.2539 0.2384  4 Cl 2.17-2.19
Ni: 0.7461 0.7461 0.7616  4 Cl 2.17-2.19
Au: 0.0000 0.0000 0.0000  6 Cl 2.63
Cl: 0.1760 0.1760 0.4721  1 Ni 2.17
Cl: 0.6085 0.2752 0.1691  1 Ni 2.19
Cl: 0.8240 0.8240 0.5279  1 Ni 2.17
Cl: 0.9472 0.6085 0.1691  1 Ni 2.19
Cl: 0.0528 0.3915 0.8309  1 Ni 2.19
Cl: 0.2752 0.9472 0.1691  1 Ni 2.19
Cl: 0.7248 0.0528 0.8309  1 Ni 2.19
Cl: 0.3915 0.7248 0.8309  1 Ni 2.19

Results
- Density of states at the Fermi level: 10.335 states/eV/cell
- SG: R-3, No. 148
- Formation energy from raw total energies: -594 meV/atom



[8]
Compound: Ti2Hg2Au
Source: Alexandria
Functional: PBE
Structure: optimized geometry

abc: 6.9233 6.9233 4.2894
angles: 90.00 90.00 90.00
Last column: nearest neighbours and their distance in Å.
Sites, in units of the cell vectors:
Au: 0.0000 0.0000 0.0000  4 Ti 2.70
Au: 0.5000 0.5000 0.0000  4 Ti 2.70
Hg: 0.1628 0.6628 0.5000  6 Ti 2.93-2.97, 1 Hg 3.19
Hg: 0.6628 0.8372 0.5000  6 Ti 2.93-2.97, 1 Hg 3.19
Hg: 0.8372 0.3372 0.5000  6 Ti 2.93-2.97, 1 Hg 3.19
Hg: 0.3372 0.1628 0.5000  6 Ti 2.93-2.97, 1 Hg 3.19
Ti: 0.3668 0.8668 0.0000  1 Ti 2.61, 2 Au 2.70
Ti: 0.8668 0.6332 0.0000  1 Ti 2.61, 2 Au 2.70
Ti: 0.6332 0.1332 0.0000  1 Ti 2.61, 2 Au 2.70
Ti: 0.1332 0.3668 0.0000  1 Ti 2.61, 2 Au 2.70

Results
- Density of states at the Fermi level: 8.685 states/eV/cell
- SG: P4/mbm, No. 127
- Energy relative to the elements: 0.13 eV/atom



[9]
Compound: Ac2TlZn2Rh5
Source: Alexandria
Functional: PBE
Structure: optimized geometry

abc: 3.7767 10.0954 10.0954
angles: 90.00 90.00 90.00
Last column: nearest neighbours and their distance in Å.
Sites, in units of the cell vectors:
Ac: 0.0000 0.6785 0.1785  3 Zn 2.90-3.06, 6 Rh 3.17-3.22
Ac: 0.0000 0.3215 0.8215  3 Zn 2.90-3.06, 6 Rh 3.17-3.22
Ac: 0.0000 0.1785 0.3215  3 Zn 2.90-3.06, 6 Rh 3.17-3.22
Ac: 0.0000 0.8215 0.6785  3 Zn 2.90-3.06, 6 Rh 3.17-3.22
Tl: 0.0000 0.0000 0.0000  8 Rh 2.94
Tl: 0.0000 0.5000 0.5000  8 Rh 2.94
Zn: 0.0000 0.1186 0.6186  6 Rh 2.54-2.60
Zn: 0.0000 0.8814 0.3814  6 Rh 2.54-2.60
Zn: 0.0000 0.6186 0.8814  6 Rh 2.54-2.60
Zn: 0.0000 0.3814 0.1186  6 Rh 2.54-2.60
Rh: 0.5000 0.2133 0.0653  2 Zn 2.60
Rh: 0.5000 0.7867 0.9347  2 Zn 2.60
Rh: 0.5000 0.0653 0.7867  2 Zn 2.60
Rh: 0.5000 0.7133 0.4347  2 Zn 2.60
Rh: 0.5000 0.9347 0.2133  2 Zn 2.60
Rh: 0.5000 0.2867 0.5653  2 Zn 2.60
Rh: 0.5000 0.5653 0.7133  2 Zn 2.60
Rh: 0.5000 0.4347 0.2867  2 Zn 2.60
Rh: 0.5000 0.5000 0.0000  4 Zn 2.54
Rh: 0.5000 0.0000 0.5000  4 Zn 2.54

Results
- Density of states at the Fermi level: 12.083 states/eV/cell
- SG: P4/mbm, No. 127
- Energy relative to the elements: -0.44 eV/atom